# 1
AlInPb2 | GGA-PBE | optimized geometry

As for the formation energy: 225 meV/atom. Its space group is F-43m. The value obtained for the density is 8.290 g/cm3. As for the energy relative to the lowest polymorph listed for this composition: 0.38 eV per formula unit.

Unit cell a=5.4010 b=5.4010 c=5.4010 alpha=60.00 beta=60.00 gamma=60.00
With the nearest neighbours (Å) after each atom.
Element x y z (fractional)
Pb: 0.7500 0.7500 0.7500  4 Pb 3.31, 4 Al 3.31
Pb: 0.0000 0.0000 0.0000  4 Pb 3.31, 4 In 3.31
Al: 0.5000 0.5000 0.5000  4 Pb 3.31, 4 In 3.31
In: 0.2500 0.2500 0.2500  4 Pb 3.31, 4 Al 3.31

***

# 2
Nb2HgW | GGA-PBE | optimized geometry

As for the formation energy: 130 meV/atom. Its space group is P4/mmm. The value obtained for the density is 12.843 g/cm3.

Unit cell a=3.3069 b=3.3069 c=6.7421 alpha=90.00 beta=90.00 gamma=90.00
With the nearest neighbours (Å) after each atom.
Element x y z (fractional)
Nb: 0.0000 0.0000 0.7762  4 W 2.78, 4 Hg 2.99, 1 Nb 3.02
Nb: 0.0000 0.0000 0.2238  4 W 2.78, 4 Hg 2.99, 1 Nb 3.02
W: 0.5000 0.5000 0.0000  8 Nb 2.78
Hg: 0.5000 0.5000 0.5000  8 Nb 2.99, 4 Hg 3.31

***

# 3
CsMg3F | GGA-PBE | optimized geometry

Its space group is Pm-3m. The energy relative to the elements, uncorrected is -28 kJ per mole of atoms. The value obtained for the density is 2.403 g/cm3. As for the energy relative to the lowest polymorph listed for this composition: 0.00 eV per formula unit.

Unit cell a=5.3755 b=5.3755 c=5.3755 alpha=90.00 beta=90.00 gamma=90.00
With the nearest neighbours (Å) after each atom.
Element x y z (fractional)
F: 0.0000 0.0000 0.0000  6 Mg 2.69
Mg: 0.0000 0.0000 0.5000  2 F 2.69
Mg: 0.0000 0.5000 0.0000  2 F 2.69
Mg: 0.5000 0.0000 0.0000  2 F 2.69
Cs: 0.5000 0.5000 0.5000  12 Mg 3.80

***

# 4
Rb2TlPt2 | GGA-PBE | optimized geometry

As for the formation energy: -124 meV/atom. Its space group is C2/c. The value obtained for the density is 8.315 g/cm3. As for the energy relative to the lowest polymorph listed for this composition: 0.00 eV per formula unit.

Unit cell a=7.0859 b=6.3924 c=8.2212 alpha=97.87 beta=90.00 gamma=123.66
With the nearest neighbours (Å) after each atom.
Element x y z (fractional)
Rb: 0.4838 0.7135 0.8695  5 Pt 3.34-3.49, 1 Tl 3.63
Rb: 0.7703 0.2865 0.6305  5 Pt 3.34-3.49, 1 Tl 3.63
Rb: 0.2297 0.7135 0.3695  5 Pt 3.34-3.49, 1 Tl 3.63
Rb: 0.5162 0.2865 0.1305  5 Pt 3.34-3.49, 1 Tl 3.63
Pt: 0.6976 0.7057 0.4893  1 Pt 2.60, 2 Tl 2.79-2.87
Pt: 0.9919 0.2943 0.0107  1 Pt 2.60, 2 Tl 2.79-2.87
Pt: 0.3024 0.2943 0.5107  1 Pt 2.60, 2 Tl 2.79-2.87
Pt: 0.0081 0.7057 0.9893  1 Pt 2.60, 2 Tl 2.79-2.87
Tl: 0.9406 0.0000 0.2500  4 Pt 2.79-2.87
Tl: 0.0594 0.0000 0.7500  4 Pt 2.79-2.87

***

# 5
RbIn2Pt2 | GGA-PBE | optimized geometry

As for the formation energy: -247 meV/atom. Its space group is I4/mmm. The value obtained for the density is 9.225 g/cm3. As for the energy relative to the lowest polymorph listed for this composition: 0.62 eV per formula unit.

Unit cell a=4.4029 b=4.4029 c=7.2513 alpha=72.33 beta=72.33 gamma=90.00
With the nearest neighbours (Å) after each atom.
Element x y z (fractional)
Rb: 0.0000 0.0000 0.0000  8 In 3.54, 8 Pt 3.95
In: 0.6291 0.6291 0.7417  4 Pt 2.71
In: 0.3709 0.3709 0.2583  4 Pt 2.71
Pt: 0.7500 0.2500 0.5000  4 In 2.71
Pt: 0.2500 0.7500 0.5000  4 In 2.71

***

# 6
Sr3SnCl | GGA-PBE | optimized geometry

Its space group is Pm-3m. The energy relative to the elements, uncorrected is -76 kJ per mole of atoms. The value obtained for the density is 3.910 g/cm3. As for the energy relative to the lowest polymorph listed for this composition: 0.00 eV per formula unit.

Unit cell a=5.6160 b=5.6160 c=5.6160 alpha=90.00 beta=90.00 gamma=90.00
With the nearest neighbours (Å) after each atom.
Element x y z (fractional)
Sr: 0.0000 0.5000 0.0000  2 Cl 2.81
Sr: 0.0000 0.0000 0.5000  2 Cl 2.81
Sr: 0.5000 0.0000 0.0000  2 Cl 2.81
Cl: 0.0000 0.0000 0.0000  6 Sr 2.81
Sn: 0.5000 0.5000 0.5000  12 Sr 3.97

***

# 7
SrMg6CuO8 | GGA-PBE | optimized geometry

Its space group is P4/mmm. The energy relative to the elements, uncorrected is -217 kJ per mole of atoms. The value obtained for the density is 4.026 g/cm3. As for the energy relative to the lowest polymorph listed for this composition: 0.00 eV per formula unit.

Unit cell a=4.5172 b=4.5172 c=8.5914 alpha=90.00 beta=90.00 gamma=90.00
With the nearest neighbours (Å) after each atom.
Element x y z (fractional)
O: 0.5000 0.5000 0.7513  6 Mg 2.14-2.26
O: 0.0000 0.0000 0.2254  1 Cu 1.94
O: 0.0000 0.0000 0.7746  1 Cu 1.94
O: 0.0000 0.5000 0.0000  4 Mg 2.04-2.26, 2 Cu 2.26
O: 0.5000 0.0000 0.5000  4 Mg 2.26, 2 Sr 2.26
O: 0.0000 0.5000 0.5000  4 Mg 2.26, 2 Sr 2.26
O: 0.5000 0.0000 0.0000  4 Mg 2.04-2.26, 2 Cu 2.26
O: 0.5000 0.5000 0.2487  6 Mg 2.14-2.26
Mg: 0.5000 0.0000 0.2372  6 O 2.04-2.26
Mg: 0.5000 0.5000 0.0000  6 O 2.14-2.26
Mg: 0.0000 0.5000 0.7628  6 O 2.04-2.26
Mg: 0.5000 0.0000 0.7628  6 O 2.04-2.26
Mg: 0.0000 0.5000 0.2372  6 O 2.04-2.26
Mg: 0.5000 0.5000 0.5000  6 O 2.16-2.26
Cu: 0.0000 0.0000 0.0000  2 O 1.94
Sr: 0.0000 0.0000 0.5000  6 O 2.26-2.36

***

# 8
Li2CaBe | GGA-PBE | optimized geometry

As for the formation energy: 235 meV/atom. Its space group is Pm. The value obtained for the density is 1.254 g/cm3.

Unit cell a=3.4001 b=3.4537 c=7.8798 alpha=64.32 beta=90.00 gamma=90.00
With the nearest neighbours (Å) after each atom.
Element x y z (fractional)
Li: 0.5000 0.2150 0.2849  4 Be 2.67-2.69, 4 Li 2.87-2.89, 1 Ca 2.97
Li: 0.0000 0.9351 0.0663  1 Be 2.70, 4 Li 2.87-2.89
Ca: 0.5000 0.7974 0.7027  1 Li 2.97, 4 Be 3.03-3.04
Be: 0.0000 0.5526 0.4461  5 Li 2.67-2.70

***

# 9
LiYTeS | GGA-PBE | optimized geometry

Its space group is P6_3mc. The energy relative to the elements, uncorrected is -151 kJ per mole of atoms. The value obtained for the density is 3.941 g/cm3.

Unit cell a=4.2391 b=4.2391 c=13.8354 alpha=90.00 beta=90.00 gamma=120.00
With the nearest neighbours (Å) after each atom.
Element x y z (fractional)
Li: 0.0000 0.0000 0.9931  1 S 2.41
Li: 0.0000 0.0000 0.4931  1 S 2.41
Te: 0.3333 0.6667 0.8972  3 Li 2.78
Te: 0.6667 0.3333 0.3972  3 Li 2.78
S: 0.0000 0.0000 0.6672  1 Li 2.41
S: 0.0000 0.0000 0.1672  1 Li 2.41
Y: 0.6667 0.3333 0.7547  3 S 2.73
Y: 0.3333 0.6667 0.2547  3 S 2.73

***

# 10
LiHo2P3Ir12 | GGA-PBE | optimized geometry

As for the formation energy: -137 meV/atom. Its space group is R-3m. The value obtained for the density is 15.537 g/cm3.

Unit cell a=6.6830 b=6.6830 c=6.6830 alpha=83.08 beta=83.08 gamma=83.08
With the nearest neighbours (Å) after each atom.
Element x y z (fractional)
Li: 0.0000 0.0000 0.0000  6 Ir 2.55
Ir: 0.8265 0.8265 0.3246  1 P 2.25
Ir: 0.1735 0.6754 0.1735  1 P 2.25
Ir: 0.3246 0.8265 0.8265  1 P 2.25
Ir: 0.1735 0.1735 0.6754  1 P 2.25
Ir: 0.6266 0.1033 0.6266  2 P 2.58, 1 Ir 2.67, 1 Ho 2.87
Ir: 0.8265 0.3246 0.8265  1 P 2.25
Ir: 0.8967 0.3734 0.3734  2 P 2.58, 1 Ir 2.67, 1 Ho 2.87
Ir: 0.3734 0.3734 0.8967  2 P 2.58, 1 Ir 2.67, 1 Ho 2.87
Ir: 0.6754 0.1735 0.1735  1 P 2.25
Ir: 0.1033 0.6266 0.6266  2 P 2.58, 1 Ir 2.67, 1 Ho 2.87
Ir: 0.6266 0.6266 0.1033  2 P 2.58, 1 Ir 2.67, 1 Ho 2.87
Ir: 0.3734 0.8967 0.3734  2 P 2.58, 1 Ir 2.67, 1 Ho 2.87
P: 0.5000 0.0000 0.0000  2 Ir 2.25
P: 0.0000 0.0000 0.5000  2 Ir 2.25
P: 0.0000 0.5000 0.0000  2 Ir 2.25
Ho: 0.6272 0.6272 0.6272  6 Ir 2.60-2.87
Ho: 0.3728 0.3728 0.3728  6 Ir 2.60-2.87

***

Total energy (computed, eV per formula unit): -13.0 -32.9 -9.0 -17.0 -19.8 -14.8 -91.1 -8.6 -21.9 -136.1